1.
A plane-wave DFT calculation with PBE was carried out for an optimized crystal structure of Rb2TlCuBr5.

```
Rb2TlCuBr5
1.0
5.065 0.000 0.000
0.000 5.065 0.000
0.000 0.000 11.971
Rb Tl Cu Br
2 1 1 5
Direct
0.500 0.500 0.287
0.500 0.500 0.713
0.000 0.000 0.000
0.000 0.000 0.500
0.000 0.500 0.500
0.500 0.000 0.500
0.000 0.000 0.734
0.000 0.000 0.266
0.500 0.500 0.000
```

Results
For the formation energy (no corrections), the calculation gives -1.051 eV per atom.


2.
A plane-wave DFT calculation with PBE was carried out for an optimized crystal structure of ZnTe2Ir.

```
ZnTe2Ir
1.0
4.898 0.000 0.000
-1.234 4.740 0.000
1.821 2.356 3.873
Ir Te Zn
1 2 1
Direct
0.000 0.500 0.500
0.000 0.000 0.000
0.500 0.500 0.000
0.500 0.000 0.500
```

Results
For the formation energy (no corrections), the calculation gives 0.282 eV per atom.


3.
A plane-wave DFT calculation with PBE was carried out for an optimized crystal structure of BaLaMn2.

```
BaLaMn2
1.0
5.504 -0.007 0.002
-5.478 6.700 0.016
0.002 2.158 3.138
Ba La Mn
1 1 2
Direct
0.500 0.500 0.000
0.500 0.000 0.500
0.000 0.000 0.000
0.000 0.500 0.500
```

Results
As for the formation energy: 534 meV per atom.